[1]
! CdTc2Br, relaxed, DFT PBE; values from VASP
! - DOS(E_F): 1.078 states/eV per atom
! - Formation energy without anion corrections: 0.5375 eV/atom
! - Energy: -5.29 eV per atom
&SYSTEM
  ibrav = 0, nat = 4, ntyp = 3
/
ATOMIC_SPECIES
Cd 112.41 Cd.upf
Tc 98.00 Tc.upf
Br 79.90 Br.upf
CELL_PARAMETERS angstrom
-1.643 1.662 1.720
1.167 -2.413 1.111
8.457 5.405 2.857
ATOMIC_POSITIONS crystal
Cd 0.500 0.500 0.787
Tc 0.000 0.000 0.034
Br 0.000 0.000 0.453
Tc 0.500 0.500 0.227



[2]
! CdTc2Br, relaxed, DFT PBE; values from VASP
! - DOS(E_F): 0.624 states/eV per atom
! - Formation energy without anion corrections: 0.2424 eV/atom
! - Energy: -5.59 eV per atom
&SYSTEM
  ibrav = 0, nat = 4, ntyp = 3
/
ATOMIC_SPECIES
Tc 98.00 Tc.upf
Br 79.90 Br.upf
Cd 112.41 Cd.upf
CELL_PARAMETERS angstrom
3.043 0.000 0.000
0.000 3.043 0.000
0.000 0.000 8.287
ATOMIC_POSITIONS crystal
Tc 0.500 0.500 0.213
Tc 0.000 0.000 0.039
Br 0.000 0.000 0.449
Cd 0.500 0.500 0.799



[3]
! CdTc2Br, relaxed, DFT PBE; values from VASP
! - DOS(E_F): 1.552 states/eV per atom
! - Formation energy without anion corrections: 1.1428 eV/atom
! - Energy: -4.69 eV per atom
&SYSTEM
  ibrav = 0, nat = 4, ntyp = 3
/
ATOMIC_SPECIES
Tc 98.00 Tc.upf
Cd 112.41 Cd.upf
Br 79.90 Br.upf
CELL_PARAMETERS angstrom
0.000 3.233 3.233
3.233 0.000 3.233
3.233 3.233 0.000
ATOMIC_POSITIONS crystal
Tc 0.750 0.750 0.750
Cd 0.500 0.500 0.500
Br 0.000 0.000 0.000
Tc 0.250 0.250 0.250